<P>
Here is a relaxed YZrTe2 crystal from the Alexandria database. Energies are from PBEsol.

Output
N(E_F) ... 1.2 states/eV/cell

abc: 3.944 3.944 6.632
angles: 90.00 90.00 90.00
Element x y z (fractional)
Te 0.000 0.000 0.934
Te 0.500 0.500 0.317
Y 0.000 0.000 0.470
Zr 0.500 0.500 0.780

---

<Q>
Here is a relaxed YZrTe2 crystal from the Alexandria database. Energies are from PBEsol.

Output
N(E_F) ... 8.6 states/eV/cell

abc: 6.489 6.489 8.209
angles: 113.28 113.28 90.00
Site moments in Bohr magnetons follow the coordinates.
Element x y z (fractional)
Y 0.750 0.250 0.500  0.01
Y 0.500 0.500 0.000  0.01
Te 0.895 0.375 0.250  0.00
Te 0.355 0.875 0.250  0.00
Te 0.625 0.645 0.750  0.00
Te 0.125 0.105 0.750  0.00
Zr 0.250 0.750 0.500  0.26
Zr 0.000 0.000 0.000  0.26

---

Stability comparison, relative energies in meV per atom: <P> 0; <Q> 651

---

<P>
Here is a relaxed ZrTe5 crystal from the Alexandria database. Energies are from PBEsol.

Output
N(E_F) ... 3.0 states/eV/cell

abc: 3.790 5.823 8.254
angles: 99.00 90.00 108.99
Element x y z (fractional)
Te 0.048 0.096 0.954
Te 0.643 0.286 0.302
Te 0.298 0.597 0.731
Te 0.371 0.742 0.249
Te 0.047 0.094 0.600
Zr 0.759 0.518 0.997

---

<Q>
Here is a relaxed ZrTe5 crystal from the Alexandria database. Energies are from PBEsol.

Output
N(E_F) ... 0.9 states/eV/cell

abc: 3.968 7.553 13.588
angles: 90.00 90.00 105.23
Element x y z (fractional)
Te 0.338 0.677 0.750
Te 0.662 0.323 0.250
Te 0.073 0.145 0.648
Te 0.927 0.855 0.148
Te 0.073 0.145 0.852
Te 0.927 0.855 0.352
Te 0.792 0.583 0.935
Te 0.208 0.417 0.435
Te 0.792 0.583 0.565
Te 0.208 0.417 0.065
Zr 0.686 0.372 0.750
Zr 0.314 0.628 0.250

---

Stability comparison, relative energies in meV per atom: <P> 119; <Q> 0

---

<P>
Here is a relaxed Th crystal from the Alexandria database. Energies are from PBEsol.

Output
N(E_F) ... 4.2 states/eV/cell

abc: 4.947 4.947 4.947
angles: 60.00 60.00 60.00
Element x y z (fractional)
Th 0.500 0.500 0.500
Th 0.750 0.750 0.750

---

<Q>
Here is a relaxed Th crystal from the Alexandria database. Energies are from PBEsol.

Output
N(E_F) ... 2.9 states/eV/cell

abc: 3.467 3.467 5.921
angles: 90.00 90.00 120.00
Element x y z (fractional)
Th 0.333 0.667 0.250
Th 0.667 0.333 0.750

---

<R>
Here is a relaxed Th crystal from the Alexandria database. Energies are from PBEsol.

Output
N(E_F) ... 1.3 states/eV/cell

abc: 3.516 3.516 3.516
angles: 60.00 60.00 60.00
Element x y z (fractional)
Th 0.000 0.000 0.000

---

Stability comparison, relative energies in meV per atom: <P> 2059; <Q> 45; <R> 0

---

<P>
Here is a relaxed Ti crystal from the Alexandria database. Energies are from PBEsol.

Output
N(E_F) ... 2.5 states/eV/cell

abc: 4.509 4.509 2.794
angles: 90.00 90.00 120.00
Element x y z (fractional)
Ti 0.000 0.000 0.000
Ti 0.333 0.667 0.500
Ti 0.667 0.333 0.500

---

<Q>
Here is a relaxed Ti crystal from the Alexandria database. Energies are from PBEsol.

Output
N(E_F) ... 1.7 states/eV/cell

abc: 2.863 2.863 2.863
angles: 60.00 60.00 60.00
Element x y z (fractional)
Ti 0.000 0.000 0.000

---

<R>
Here is a relaxed Ti crystal from the Alexandria database. Energies are from PBEsol.

Output
N(E_F) ... 1.8 states/eV/cell

abc: 2.897 2.897 4.584
angles: 90.00 90.00 120.00
Element x y z (fractional)
Ti 0.333 0.667 0.750
Ti 0.667 0.333 0.250

---

Stability comparison, relative energies in meV per atom: <P> 0; <Q> 70; <R> 15

---

<P>
Here is a relaxed YTl2W crystal from the Alexandria database. Energies are from PBEsol.

Output
N(E_F) ... 3.6 states/eV/cell

abc: 3.145 3.145 9.542
angles: 90.00 90.00 105.76
Element x y z (fractional)
Tl 0.000 0.000 0.995
Tl 0.500 0.500 0.729
W 0.000 0.000 0.501
Y 0.500 0.500 0.274

---

<Q>
Here is a relaxed YTl2W crystal from the Alexandria database. Energies are from PBEsol.

Output
N(E_F) ... 2.8 states/eV/cell

abc: 3.097 5.604 6.001
angles: 117.18 103.86 92.27
Element x y z (fractional)
Tl 0.000 0.000 0.500
Tl 0.500 0.500 0.500
W 0.500 0.000 0.000
Y 0.000 0.500 0.000

---

Stability comparison, relative energies in meV per atom: <P> 0; <Q> 33

---

<P>
Here is a relaxed YTlW2 crystal from the Alexandria database. Energies are from PBEsol.

Output
N(E_F) ... 3.3 states/eV/cell

abc: 2.864 2.864 9.521
angles: 90.00 90.00 90.00
Element x y z (fractional)
Tl 0.500 0.500 0.500
W 0.000 0.000 0.741
W 0.000 0.000 0.259
Y 0.500 0.500 0.000

---

<Q>
Here is a relaxed YTlW2 crystal from the Alexandria database. Energies are from PBEsol.

Output
N(E_F) ... 3.0 states/eV/cell

abc: 3.635 4.484 4.712
angles: 90.00 90.00 90.00
Element x y z (fractional)
Tl 0.000 0.500 0.500
W 0.000 0.000 0.000
W 0.500 0.500 0.000
Y 0.500 0.000 0.500

---

Stability comparison, relative energies in meV per atom: <P> 253; <Q> 0

---

<P>
Here is a relaxed TlZnW2 crystal from the Alexandria database. Energies are from PBEsol.

Output
N(E_F) ... 2.8 states/eV/cell

abc: 3.158 4.579 5.041
angles: 104.99 108.25 90.00
Element x y z (fractional)
Tl 0.000 0.500 0.000
W 0.245 0.235 0.491
W 0.755 0.765 0.509
Zn 0.500 0.000 0.000

---

<Q>
Here is a relaxed TlZnW2 crystal from the Alexandria database. Energies are from PBEsol.

Output
N(E_F) ... 2.3 states/eV/cell

abc: 4.095 4.095 4.888
angles: 114.77 114.77 90.00
Element x y z (fractional)
Tl 0.250 0.750 0.500
W 0.000 0.000 0.000
W 0.750 0.250 0.500
Zn 0.500 0.500 0.000

---

Stability comparison, relative energies in meV per atom: <P> 0; <Q> 87

---

<P>
Here is a relaxed TlZnW2 crystal from the Alexandria database. Energies are from PBEsol.

Output
N(E_F) ... 2.3 states/eV/cell

abc: 3.313 3.313 6.212
angles: 90.00 90.00 90.00
Element x y z (fractional)
Tl 0.500 0.500 0.736
W 0.000 0.000 0.044
W 0.500 0.500 0.243
Zn 0.000 0.000 0.477

---

<Q>
Here is a relaxed TlZnW2 crystal from the Alexandria database. Energies are from PBEsol.

Output
N(E_F) ... 2.9 states/eV/cell

abc: 2.785 4.245 5.733
angles: 90.00 90.00 90.00
Element x y z (fractional)
Tl 0.500 0.500 0.500
W 0.000 0.000 0.783
W 0.000 0.000 0.217
Zn 0.500 0.500 0.000

---

<R>
Here is a relaxed TlZnW2 crystal from the Alexandria database. Energies are from PBEsol.

Output
N(E_F) ... 1.9 states/eV/cell

abc: 2.825 4.285 5.849
angles: 90.00 105.98 90.00
Element x y z (fractional)
Tl 0.398 0.500 0.745
W 0.072 0.000 0.030
W 0.483 0.500 0.253
Zn 0.047 0.000 0.472

---

Stability comparison, relative energies in meV per atom: <P> 0; <Q> 291; <R> 100